[1]
Below is a relaxed Sr2CuSbS5 crystal, with properties calculated at the PBE level.

Results
The total DFT energy (no corrections) comes out at -4.584 eV/atom. The value obtained for the spin magnetization is 0.00 μB/cell.

a b c (Å): 9.5025 9.5025 11.3746
angles (deg): 90.00 90.00 155.66
Closest atoms and distances in Å follow each position.
Fractional positions:
Sr (0.1130, 0.8870, 0.5000)  7 S 2.95-3.26
Sr (0.1139, 0.8861, 0.9065)  7 S 2.97-3.29
Sr (0.8861, 0.1139, 0.4065)  7 S 2.97-3.29
Sr (0.8870, 0.1130, 0.0000)  7 S 2.95-3.26
Cu (0.4445, 0.5555, 0.6411)  3 S 2.22-2.24
Cu (0.5555, 0.4445, 0.1411)  3 S 2.22-2.24
Sb (0.2249, 0.7751, 0.2074)  6 S 2.52-2.67
Sb (0.7751, 0.2249, 0.7074)  6 S 2.52-2.67
S (0.0847, 0.9153, 0.2098)  2 Cu 2.22
S (0.2773, 0.7227, 0.5518)  2 Sb 2.67
S (0.2774, 0.7226, 0.8618)  2 Sb 2.66
S (0.3607, 0.6393, 0.2044)  1 Sb 2.52
S (0.4983, 0.5017, 0.4649)  1 Cu 2.24
S (0.5017, 0.4983, 0.9649)  1 Cu 2.24
S (0.6393, 0.3607, 0.7044)  1 Sb 2.52
S (0.7227, 0.2773, 0.0518)  2 Sb 2.67
S (0.7226, 0.2774, 0.3618)  2 Sb 2.66
S (0.9153, 0.0847, 0.7098)  2 Cu 2.22

---

[2]
Below is a relaxed LiMg2Cr crystal, with properties calculated at the PBE level.

Results
The value obtained for the spin magnetization is 4.12 μB/cell. The formation energy comes out at 0.31 eV per atom.

a b c (Å): 5.1593 5.1593 5.3328
angles (deg): 99.90 99.90 34.76
Closest atoms and distances in Å follow each position.
Fractional positions:
Li (0.0000, 0.0000, 0.0000)  6 Mg 3.00-3.03, 4 Cr 3.08, 2 Li 3.08
Mg (0.2478, 0.2478, 0.7452)  3 Cr 2.98-3.01, 3 Li 3.00-3.03, 6 Mg 3.04-3.12
Mg (0.7522, 0.7522, 0.2548)  3 Cr 2.98-3.01, 3 Li 3.00-3.03, 6 Mg 3.04-3.12
Cr (0.5000, 0.5000, 0.5000)  6 Mg 2.98-3.01, 4 Li 3.08, 2 Cr 3.08

---

[3]
Below is a relaxed InCo2Br crystal, with properties calculated at the PBE level.

Results
As for the offset from the most stable computed form: 7.1 kJ/mol of atoms. The value obtained for the spin magnetization is 3.62 μB/cell.

a b c (Å): 3.0678 3.3197 7.5178
angles (deg): 90.00 90.00 90.00
Closest atoms and distances in Å follow each position.
Fractional positions:
In (0.0000, 0.0000, 0.0000)  5 Co 2.76-2.78, 2 In 3.07
Co (0.0000, 0.0000, 0.6323)  4 Co 2.54, 4 Br 2.68, 1 In 2.76
Co (0.5000, 0.5000, 0.7857)  4 Co 2.54, 1 Br 2.59, 4 In 2.78
Br (0.5000, 0.5000, 0.4415)  5 Co 2.59-2.68

---

[4]
Below is a relaxed CdHgC3 crystal, with properties calculated at the PBE level.

Results
As for the offset from the most stable computed form: 2.2 kJ/mol of atoms. The value obtained for the spin magnetization is 0.00 μB/cell. The formation energy comes out at 3.31 eV per atom.

a b c (Å): 4.3880 4.3880 4.3880
angles (deg): 90.00 90.00 90.00
Closest atoms and distances in Å follow each position.
Fractional positions:
Cd (0.0000, 0.0000, 0.0000)  12 C 3.10
Hg (0.5000, 0.5000, 0.5000)  6 C 2.19
C (0.0000, 0.5000, 0.5000)  2 Hg 2.19
C (0.5000, 0.0000, 0.5000)  2 Hg 2.19
C (0.5000, 0.5000, 0.0000)  2 Hg 2.19